No. 1
PaSiO4F | PBE | optimized geometry

## Properties
M_tot = 0.000 μB/f.u.
DOS at the Fermi energy = 0.00 states/eV/cell
Space-group type = C2/m (12)
Uncorrected formation energy = -3.2799 eV per atom
Energy = -8.512 eV/atom

Cell: 5.7588 5.7588 6.6721 Å, 103.97 103.97 74.01°
Closest atoms and distances in Å follow each position.
Atoms (fractional coordinates):
Pa 0.2260 0.2260 0.1412  4 O 2.11-2.21, 2 F 2.33-2.36
Pa 0.7740 0.7740 0.8588  4 O 2.11-2.21, 2 F 2.33-2.36
Si 0.3491 0.3491 0.7201  4 O 1.62-1.66
Si 0.6509 0.6509 0.2799  4 O 1.62-1.66
O 0.1148 0.4819 0.8435  1 Si 1.66
O 0.2604 0.2604 0.4696  1 Si 1.62
O 0.4665 0.4665 0.2361  1 Si 1.63
O 0.4819 0.1148 0.8435  1 Si 1.66
O 0.5181 0.8852 0.1565  1 Si 1.66
O 0.5335 0.5335 0.7639  1 Si 1.63
O 0.7396 0.7396 0.5304  1 Si 1.62
O 0.8852 0.5181 0.1565  1 Si 1.66
F 0.0196 0.0196 0.8281  2 Pa 2.33-2.36, 1 F 2.43
F 0.9804 0.9804 0.1719  2 Pa 2.33-2.36, 1 F 2.43

=====

No. 2
PaTcO6F | PBE | optimized geometry

## Properties
M_tot = 0.000 μB/f.u.
DOS at the Fermi energy = 1.79 states/eV/cell
Space-group type = P1 (1)
Uncorrected formation energy = -1.7832 eV per atom
Energy = -7.504 eV/atom

Cell: 5.3139 5.5871 5.6878 Å, 60.66 80.14 70.01°
Closest atoms and distances in Å follow each position.
Atoms (fractional coordinates):
Pa 0.0000 0.0000 0.0000  6 O 2.10-2.27
Tc 0.9977 0.6585 0.6840  6 O 1.88-1.96
O 0.1951 0.6167 0.3871  1 Tc 1.90, 1 F 1.92
O 0.2174 0.2784 0.9368  1 Tc 1.96, 1 Pa 2.10
O 0.2248 0.8252 0.7340  1 Tc 1.88
O 0.7733 0.4400 0.7349  1 Tc 1.88
O 0.7790 0.7867 0.9374  1 Tc 1.95, 1 Pa 2.11
O 0.8027 0.9959 0.3884  1 Tc 1.90, 1 F 1.93
F 0.4985 0.3010 0.3997  2 O 1.92-1.93